--- a ---
VASP calculation (PBE) on a relaxed structure of AlGaP2O.

POSCAR file:
```
AlGaP2O
1.0
4.974 0.000 0.000
0.000 4.974 0.000
0.000 0.000 3.383
O P Al Ga
1 2 1 1
Direct
0.000 0.000 0.500
0.000 0.500 0.000
0.500 0.000 0.000
0.000 0.000 0.000
0.500 0.500 0.500
```


--- b ---
VASP calculation (PBE) on a relaxed structure of AlGaP2O.

POSCAR file:
```
AlGaP2O
1.0
4.909 0.000 0.000
0.000 4.909 0.000
0.000 0.000 3.560
O P Al Ga
1 2 1 1
Direct
0.000 0.000 0.500
0.000 0.500 0.000
0.500 0.000 0.000
0.500 0.500 0.500
0.000 0.000 0.000
```


a wins, 474 meV/atom ahead of the next structure.


--- a ---
VASP calculation (PBE) on a relaxed structure of AlGaPO2.

POSCAR file:
```
AlGaPO2
1.0
3.576 0.000 0.000
0.000 3.576 0.000
0.000 0.000 5.479
O P Al Ga
2 1 1 1
Direct
0.000 0.500 0.000
0.500 0.000 0.000
0.000 0.000 0.500
0.000 0.000 0.000
0.500 0.500 0.500
```


--- b ---
VASP calculation (PBE) on a relaxed structure of AlGaPO2.

POSCAR file:
```
AlGaPO2
1.0
-0.081 -0.896 -3.593
-0.131 -3.591 0.898
-5.323 0.211 0.067
O P Al Ga
2 1 1 1
Direct
0.000 0.500 0.000
0.500 0.000 0.000
0.000 0.000 0.500
0.500 0.500 0.500
0.000 0.000 0.000
```


a wins, 593 meV/atom ahead of the next structure.